Entry from Alexandria via LeMat-Bulk: an optimized crystal structure of K2MgIr (PBE).

a = 4.285 Å, b = 4.285 Å, c = 5.517 Å
α = 90.00°, β = 90.00°, γ = 90.00°
Atoms (fractional coordinates):
K (0.000, 0.500, 0.000)
K (0.500, 0.000, 0.000)
Mg (0.000, 0.000, 0.500)
Ir (0.500, 0.500, 0.500)

Calculated values
Calculated volume, Å³ per atom: 25.32
Final energy, eV/atom: -2.5022
Crystal system: tetragonal
E_form, meV per atom: 660


Entry from Alexandria via LeMat-Bulk: an optimized crystal structure of K2MgIr (PBE).

a = 3.129 Å, b = 3.129 Å, c = 35.996 Å
α = 90.00°, β = 90.00°, γ = 120.00°
Atoms (fractional coordinates):
K (0.000, 0.000, 0.238)
K (0.000, 0.000, 0.762)
K (0.333, 0.667, 0.428)
K (0.333, 0.667, 0.905)
K (0.667, 0.333, 0.095)
K (0.667, 0.333, 0.572)
Mg (0.000, 0.000, 0.000)
Mg (0.333, 0.667, 0.667)
Mg (0.667, 0.333, 0.333)
Ir (0.000, 0.000, 0.500)
Ir (0.333, 0.667, 0.167)
Ir (0.667, 0.333, 0.833)

Calculated values
Calculated volume, Å³ per atom: 25.44
Final energy, eV/atom: -2.4331
Crystal system: trigonal
E_form, meV per atom: 730


Entry from Alexandria via LeMat-Bulk: an optimized crystal structure of K2MgIr (PBE).

a = 3.394 Å, b = 5.758 Å, c = 5.035 Å
α = 90.00°, β = 95.07°, γ = 90.00°
Atoms (fractional coordinates):
K (0.235, 0.000, 0.263)
K (0.765, 0.000, 0.737)
Mg (0.500, 0.500, 0.000)
Ir (0.000, 0.500, 0.500)

Calculated values
Calculated volume, Å³ per atom: 24.50
Final energy, eV/atom: -2.4646
Crystal system: monoclinic
E_form, meV per atom: 698


Entry from Alexandria via LeMat-Bulk: an optimized crystal structure of KMgIr2 (PBE).

a = 2.889 Å, b = 4.901 Å, c = 5.005 Å
α = 90.00°, β = 90.00°, γ = 90.00°
Atoms (fractional coordinates):
K (0.000, 0.000, 0.000)
Mg (0.500, 0.500, 0.000)
Ir (0.000, 0.500, 0.500)
Ir (0.500, 0.000, 0.500)

Calculated values
Calculated volume, Å³ per atom: 17.72
Final energy, eV/atom: -4.4580
Crystal system: orthorhombic
E_form, meV per atom: 646


Entry from Alexandria via LeMat-Bulk: an optimized crystal structure of KMg2Ir (PBE).

a = 7.017 Å, b = 7.017 Å, c = 7.017 Å
α = 90.00°, β = 90.00°, γ = 90.00°
Atoms (fractional coordinates):
K (0.000, 0.000, 0.000)
K (0.000, 0.500, 0.500)
K (0.500, 0.000, 0.500)
K (0.500, 0.500, 0.000)
Mg (0.000, 0.000, 0.500)
Mg (0.000, 0.500, 0.000)
Mg (0.250, 0.250, 0.250)
Mg (0.250, 0.750, 0.750)
Mg (0.500, 0.000, 0.000)
Mg (0.500, 0.500, 0.500)
Mg (0.750, 0.250, 0.750)
Mg (0.750, 0.750, 0.250)
Ir (0.250, 0.250, 0.750)
Ir (0.250, 0.750, 0.250)
Ir (0.750, 0.250, 0.250)
Ir (0.750, 0.750, 0.750)

Calculated values
Calculated volume, Å³ per atom: 21.60
Final energy, eV/atom: -2.8190
Crystal system: cubic
ΔE to the lowest computed polymorph, eV/atom: 0.482
E_form, meV per atom: 468


Entry from Alexandria via LeMat-Bulk: an optimized crystal structure of K4MgIr (PBE).

a = 6.679 Å, b = 6.679 Å, c = 6.679 Å
α = 60.00°, β = 60.00°, γ = 60.00°
Atoms (fractional coordinates):
K (0.377, 0.377, 0.377)
K (0.377, 0.377, 0.869)
K (0.377, 0.869, 0.377)
K (0.869, 0.377, 0.377)
Mg (0.000, 0.000, 0.000)
Ir (0.750, 0.750, 0.750)

Calculated values
Calculated volume, Å³ per atom: 35.12
Final energy, eV/atom: -1.5606
Crystal system: cubic
E_form, meV per atom: 914


Entry from Alexandria via LeMat-Bulk: an optimized crystal structure of K2MgIr (PBE).

a = 3.178 Å, b = 4.300 Å, c = 19.829 Å
α = 90.00°, β = 90.00°, γ = 90.00°
Atoms (fractional coordinates):
K (0.000, 0.000, 0.145)
K (0.000, 0.000, 0.855)
K (0.500, 0.500, 0.355)
K (0.500, 0.500, 0.645)
Mg (0.000, 0.500, 0.000)
Mg (0.500, 0.000, 0.500)
Ir (0.000, 0.500, 0.500)
Ir (0.500, 0.000, 0.000)

Calculated values
Calculated volume, Å³ per atom: 33.88
Final energy, eV/atom: -2.9193
Crystal system: orthorhombic
E_form, meV per atom: 243


Entry from Alexandria via LeMat-Bulk: an optimized crystal structure of KMgIr2 (PBE).

a = 2.816 Å, b = 4.239 Å, c = 8.079 Å
α = 90.00°, β = 99.40°, γ = 90.00°
Atoms (fractional coordinates):
K (0.000, 0.000, 0.000)
Mg (0.677, 0.500, 0.379)
Ir (0.317, 0.500, 0.677)
Ir (0.782, 0.000, 0.603)

Calculated values
Calculated volume, Å³ per atom: 23.78
Final energy, eV/atom: -4.8714
Crystal system: monoclinic
E_form, meV per atom: 232


Question: calculated volume of number 7 (K2MgIr)?
Answer: 33.88 Å³ per atom


Question: Which value of final energy does entry 3 give?
Answer: -2.4646 eV/atom


Question: calculated volume of number 1 (K2MgIr)?
Answer: 25.32 Å³ per atom


Question: Which formula does entry 6 have?
Answer: K4MgIr